A plane-wave DFT calculation with PBE was carried out for a relaxed structure of NaSrDyTe3.

**Space-group type**: No. 62
**Offset from the most stable computed form**: 75.0 meV/atom

Cell lengths 15.0213, 4.5483, 11.5913 Å; angles 90.00, 90.00, 90.00 degrees
Fractional coordinates of all 24 atoms:
Te  0.3509  0.2500  0.2400
Te  0.3959  0.7500  0.9285
Te  0.6041  0.2500  0.0715
Te  0.1491  0.7500  0.7400
Te  0.3783  0.2500  0.6266
Te  0.8783  0.2500  0.8734
Te  0.6491  0.7500  0.7600
Te  0.8509  0.2500  0.2600
Te  0.1217  0.7500  0.1266
Te  0.6217  0.7500  0.3734
Te  0.8959  0.7500  0.5715
Te  0.1041  0.2500  0.4285
Na  0.4972  0.2500  0.4097
Na  0.5028  0.7500  0.5903
Na  0.9972  0.2500  0.0903
Na  0.0028  0.7500  0.9097
Dy  0.4833  0.7500  0.1669
Dy  0.9833  0.7500  0.3331
Dy  0.0167  0.2500  0.6669
Dy  0.5167  0.2500  0.8331
Sr  0.2346  0.2500  0.9601
Sr  0.7654  0.7500  0.0399
Sr  0.7346  0.2500  0.5399
Sr  0.2654  0.7500  0.4601


A plane-wave DFT calculation with PBE was carried out for a relaxed structure of NaDyTe.

**Space-group type**: No. 216
**Offset from the most stable computed form**: 174.8 meV/atom

Cell lengths 5.1556, 5.1556, 5.1556 Å; angles 60.00, 60.00, 60.00 degrees
Fractional coordinates of all 3 atoms:
Te  0.7500  0.7500  0.7500
Dy  0.0000  0.0000  0.0000
Na  0.2500  0.2500  0.2500


A plane-wave DFT calculation with PBE was carried out for a relaxed structure of NaDyTe.

**Space-group type**: No. 216
**Offset from the most stable computed form**: 0.0 meV/atom

Cell lengths 5.0533, 5.0533, 5.0533 Å; angles 60.00, 60.00, 60.00 degrees
Fractional coordinates of all 3 atoms:
Dy  0.2500  0.2500  0.2500
Te  0.0000  0.0000  0.0000
Na  0.7500  0.7500  0.7500


Let's list magnetic moment in order: 0.00, 0.01, 0.00 μB/f.u..